1.
VASP calculation (PBE) on crystalline BaIn4Se at its relaxed geometry.

```
BaIn4Se
1.0
0.349 0.867 6.292
-5.026 -1.303 3.674
0.129 -5.023 3.901
In Ba Se
4 1 1
Direct
0.375 0.375 0.375 In
0.375 0.375 0.874 In
0.874 0.375 0.375 In
0.375 0.874 0.375 In
0.000 0.000 0.000 Ba
0.750 0.750 0.750 Se
```

As for the formation energy from raw total energies: -0.2054 eV/atom. As for the density of states at the Fermi level: 6.36 states/eV/cell. The value obtained for the total energy is -2.932 eV per atom. Its space group is F-43m (216).

2.
VASP calculation (PBE) on crystalline BaIn2Se4 at its relaxed geometry.

```
BaIn2Se4
1.0
6.707 0.053 0.000
-3.239 5.873 0.000
0.000 0.000 11.669
Se In Ba
8 4 2
Direct
0.646 0.802 0.000 Se
0.000 0.500 0.828 Se
0.000 0.500 0.172 Se
0.354 0.198 0.000 Se
0.500 0.000 0.328 Se
0.198 0.354 0.500 Se
0.802 0.646 0.500 Se
0.500 0.000 0.672 Se
0.770 0.234 0.000 In
0.230 0.766 0.000 In
0.234 0.770 0.500 In
0.766 0.230 0.500 In
0.500 0.500 0.750 Ba
0.500 0.500 0.250 Ba
```

As for the formation energy from raw total energies: -1.0349 eV/atom. As for the density of states at the Fermi level: 0.00 states/eV/cell. The value obtained for the total energy is -4.083 eV per atom. Its space group is Cccm (66).

3.
VASP calculation (PBE) on crystalline BaInSe4 at its relaxed geometry.

```
BaInSe4
1.0
-4.195 3.106 3.155
-5.068 1.957 -2.771
-5.372 -2.581 1.292
Se Ba In
4 1 1
Direct
0.374 0.374 0.374 Se
0.374 0.374 0.878 Se
0.374 0.878 0.374 Se
0.878 0.374 0.374 Se
0.750 0.750 0.750 Ba
0.000 0.000 0.000 In
```

As for the formation energy from raw total energies: -0.3711 eV/atom. As for the density of states at the Fermi level: 4.71 states/eV/cell. The value obtained for the total energy is -3.471 eV per atom. Its space group is F-43m (216).

4.
VASP calculation (PBE) on crystalline BaInSe at its relaxed geometry.

```
BaInSe
1.0
-4.990 -1.797 -1.078
-1.003 -5.318 -0.082
-2.971 -2.255 3.922
In Ba Se
1 1 1
Direct
0.500 0.500 0.500 In
0.000 0.000 0.000 Ba
0.750 0.750 0.750 Se
```

As for the formation energy from raw total energies: -0.8389 eV/atom. As for the density of states at the Fermi level: 2.20 states/eV/cell. The value obtained for the total energy is -3.554 eV per atom. Its space group is F-43m (216).

5.
VASP calculation (PBE) on crystalline Ba2In2Se5 at its relaxed geometry.

```
Ba2In2Se5
1.0
5.727 0.000 0.000
-2.863 7.076 -0.876
0.000 -1.977 7.444
Ba Se In
2 5 2
Direct
0.390 0.781 0.702 Ba
0.610 0.219 0.298 Ba
0.858 0.716 0.477 Se
0.658 0.315 0.896 Se
0.342 0.685 0.104 Se
0.142 0.284 0.523 Se
0.000 0.000 0.000 Se
0.151 0.302 0.862 In
0.849 0.698 0.138 In
```

As for the formation energy from raw total energies: -1.1261 eV/atom. The value obtained for the total energy is -4.098 eV per atom. Its space group is C2/m (12).

6.
VASP calculation (PBE) on crystalline Ba3InSe at its relaxed geometry.

```
Ba3InSe
1.0
6.266 0.000 0.000
0.000 6.266 0.000
0.000 0.000 6.266
In Ba Se
1 3 1
Direct
0.500 0.500 0.500 In
0.000 0.500 0.000 Ba
0.500 0.000 0.000 Ba
0.000 0.000 0.500 Ba
0.000 0.000 0.000 Se
```

As for the formation energy from raw total energies: -0.7787 eV/atom. As for the density of states at the Fermi level: 3.94 states/eV/cell. The value obtained for the total energy is -3.177 eV per atom. Its space group is Pm-3m (221).

7.
VASP calculation (PBE) on crystalline BaInSe at its relaxed geometry.

```
BaInSe
1.0
4.406 0.000 0.000
-2.203 3.816 0.000
0.000 0.000 6.525
Ba Se In
1 1 1
Direct
0.000 0.000 0.964 Ba
0.667 0.333 0.647 Se
0.333 0.667 0.389 In
```

As for the formation energy from raw total energies: -0.7518 eV/atom. As for the density of states at the Fermi level: 2.75 states/eV/cell. The value obtained for the total energy is -3.467 eV per atom. Its space group is P3m1 (156).

8.
VASP calculation (PBE) on crystalline BaInSe at its relaxed geometry.

```
BaInSe
1.0
-2.145 -2.989 3.584
-1.959 0.129 -4.746
2.648 -3.319 -1.183
Se Ba In
1 1 1
Direct
0.333 0.667 0.500 Se
0.000 0.000 0.000 Ba
0.667 0.333 0.500 In
```

As for the formation energy from raw total energies: -0.8877 eV/atom. As for the density of states at the Fermi level: 1.48 states/eV/cell. The value obtained for the total energy is -3.603 eV per atom. Its space group is P-6m2 (187).

9.
VASP calculation (PBE) on crystalline BaInSe3 at its relaxed geometry.

```
BaInSe3
1.0
5.363 0.000 0.000
0.000 5.363 0.000
0.000 0.000 5.363
Se In Ba
3 1 1
Direct
0.500 0.000 0.000 Se
0.000 0.500 0.000 Se
0.000 0.000 0.500 Se
0.000 0.000 0.000 In
0.500 0.500 0.500 Ba
```

As for the formation energy from raw total energies: -0.8313 eV/atom. As for the density of states at the Fermi level: 4.16 states/eV/cell. The value obtained for the total energy is -3.854 eV per atom. Its space group is Pm-3m (221).

10.
VASP calculation (PBE) on crystalline Ba2InSe at its relaxed geometry.

```
Ba2InSe
1.0
-4.700 2.850 -1.856
-1.128 0.345 -5.680
-4.469 -2.934 -2.254
Ba In Se
2 1 1
Direct
0.250 0.250 0.250 Ba
0.000 0.000 0.000 Ba
0.500 0.500 0.500 In
0.750 0.750 0.750 Se
```

As for the formation energy from raw total energies: -0.3889 eV/atom. As for the density of states at the Fermi level: 5.21 states/eV/cell. The value obtained for the total energy is -2.906 eV per atom. Its space group is F-43m (216).

11.
VASP calculation (PBE) on crystalline Ba2In2Se at its relaxed geometry.

```
Ba2In2Se
1.0
8.386 0.000 0.000
0.000 8.386 0.000
0.000 0.000 5.218
Ba In Se
4 4 2
Direct
0.173 0.673 0.500 Ba
0.673 0.827 0.500 Ba
0.827 0.327 0.500 Ba
0.327 0.173 0.500 Ba
0.371 0.871 0.000 In
0.129 0.371 0.000 In
0.629 0.129 0.000 In
0.871 0.629 0.000 In
0.500 0.500 0.000 Se
0.000 0.000 0.000 Se
```

As for the formation energy from raw total energies: -0.5312 eV/atom. As for the density of states at the Fermi level: 4.54 states/eV/cell. The value obtained for the total energy is -3.093 eV per atom. Its space group is P4/mbm (127).

12.
VASP calculation (PBE) on crystalline Ba4InSe5 at its relaxed geometry.

```
Ba4InSe5
1.0
-1.619 1.436 -6.256
-7.896 1.118 -1.202
-0.014 7.886 -1.689
Ba Se In
4 5 1
Direct
0.403 0.399 0.801 Ba
0.802 0.801 0.601 Ba
0.603 0.601 0.199 Ba
0.204 0.199 0.399 Ba
0.098 0.613 0.195 Se
0.711 0.195 0.387 Se
0.293 0.805 0.613 Se
0.906 0.387 0.805 Se
0.457 0.000 0.000 Se
0.034 0.000 0.000 In
```

As for the formation energy from raw total energies: -1.6646 eV/atom. As for the density of states at the Fermi level: 4.12 states/eV/cell. The value obtained for the total energy is -4.450 eV per atom. Its space group is I4 (79).